! K2PuFeO4 | Alexandria | PBE with a Hubbard U | relaxed; values from VASP
&SYSTEM
  ibrav = 0, nat = 8, ntyp = 4
/
ATOMIC_SPECIES
K 39.10 K.upf
Pu 244.00 Pu.upf
Fe 55.84 Fe.upf
O 16.00 O.upf
CELL_PARAMETERS angstrom
5.744 0.000 0.000
0.000 3.439 0.000
-1.956 0.000 6.226
ATOMIC_POSITIONS crystal
K 0.000 0.000 0.000
K 0.500 0.500 0.000
Pu 0.000 0.500 0.500
Fe 0.500 0.000 0.500
O 0.223 0.000 0.690
O 0.265 0.500 0.317
O 0.735 0.500 0.683
O 0.777 0.000 0.310
! * space group: P2/m (10)
! * uncorrected energy: -7.24 eV per atom